#1
# PBE-GGA Ca2ScMnNb, optimized geometry
data_Ca2ScMnNb
_space_group_name_H-M_alt 'P 1'
_space_group_IT_number 1
_cell_length_a 5.486
_cell_length_b 4.460
_cell_length_c 5.486
_cell_angle_alpha 90.00
_cell_angle_beta 90.00
_cell_angle_gamma 90.00
loop_
_space_group_symop_operation_xyz
'x,y,z'
loop_
_atom_site_label
_atom_site_type_symbol
_atom_site_fract_x
_atom_site_fract_y
_atom_site_fract_z
Sc1 Sc 0.500 0.500 0.500
Ca1 Ca 0.500 0.000 0.000
Ca2 Ca 0.000 0.000 0.500
Mn1 Mn 0.000 0.000 0.000
Nb1 Nb 0.000 0.500 0.000
# Magnetic moment, Bohr magnetons per cell: 0.000
# Crystal system: tetragonal

---

#2
# PBE-GGA Ca2ScMnNb, optimized geometry
data_Ca2ScMnNb
_space_group_name_H-M_alt 'P 1'
_space_group_IT_number 1
_cell_length_a 5.638
_cell_length_b 4.973
_cell_length_c 5.638
_cell_angle_alpha 90.00
_cell_angle_beta 90.00
_cell_angle_gamma 90.00
loop_
_space_group_symop_operation_xyz
'x,y,z'
loop_
_atom_site_label
_atom_site_type_symbol
_atom_site_fract_x
_atom_site_fract_y
_atom_site_fract_z
Ca1 Ca 0.000 0.000 0.500
Ca2 Ca 0.500 0.000 0.000
Mn1 Mn 0.500 0.500 0.500
Nb1 Nb 0.000 0.000 0.000
Sc1 Sc 0.000 0.500 0.000
# Magnetic moment, Bohr magnetons per cell: 5.039
# Crystal system: tetragonal

---

Which structure is most stable, and how do the rest compare? From most to least stable: #1, #2.